VASP calculation (GGA+U) on a geometry-optimized Li7Mn2Co3O12 structure.

Lattice parameters (Å, degrees): 5.883 5.896 7.670 100.54 100.71 119.87
Space group P1 (No. 1)
Asymmetric unit:
Li (0.000, 0.000, 0.000) x1
Li (0.000, 0.165, 0.674) x1
Li (0.006, 0.665, 0.662) x1
Li (0.013, 0.338, 0.336) x1
Li (0.016, 0.847, 0.340) x1
Li (0.502, 0.170, 0.667) x1
Li (0.988, 0.494, 0.990) x1
Mn (0.495, 0.496, 0.997) x1
Mn (0.509, 0.336, 0.337) x1
Co (0.503, 0.662, 0.666) x1
Co (0.505, 0.004, 0.986) x1
Co (0.508, 0.847, 0.343) x1
O (0.265, 0.585, 0.845) x1
O (0.272, 0.114, 0.850) x1
O (0.280, 0.267, 0.489) x1
O (0.283, 0.425, 0.172) x1
O (0.283, 0.750, 0.500) x1
O (0.287, 0.952, 0.177) x1
O (0.716, 0.884, 0.162) x1
O (0.724, 0.587, 0.840) x1
O (0.726, 0.417, 0.159) x1
O (0.736, 0.074, 0.841) x1
O (0.739, 0.725, 0.493) x1
O (0.740, 0.252, 0.481) x1

Summary:
Energy relative to the lowest polymorph listed for this composition ... 19 meV per atom